No. 1
# Rb2TcF8, relaxed, DFT PBE
data_Rb2TcF8
_chemical_formula_sum 'Rb2 Tc1 F8'
_cell_length_a 7.084
_cell_length_b 7.258
_cell_length_c 7.258
_cell_angle_alpha 43.12
_cell_angle_beta 107.76
_cell_angle_gamma 107.76
_space_group_name_H-M_alt 'P 1'
_space_group_IT_number 1
loop_
_space_group_symop_operation_xyz
'x,y,z'
loop_
_atom_site_label
_atom_site_type_symbol
_atom_site_fract_x
_atom_site_fract_y
_atom_site_fract_z
F1 F 0.279 0.023 0.023
F2 F 0.967 0.651 0.141
F3 F 0.373 0.287 0.287
F4 F 0.033 0.349 0.859
F5 F 0.967 0.141 0.651
F6 F 0.627 0.713 0.713
F7 F 0.033 0.859 0.349
F8 F 0.721 0.977 0.977
Rb1 Rb 0.674 0.200 0.200
Rb2 Rb 0.326 0.800 0.800
Tc1 Tc 0.000 0.000 0.000
# Space-group type: No. 12
# ΔE_f (raw): -2.185 eV per atom

No. 2
# SbPHO2, relaxed, DFT PBE
data_SbPHO2
_chemical_formula_sum 'Sb1 P1 H1 O2'
_cell_length_a 4.230
_cell_length_b 4.230
_cell_length_c 3.101
_cell_angle_alpha 90.00
_cell_angle_beta 90.00
_cell_angle_gamma 90.00
_space_group_name_H-M_alt 'P 1'
_space_group_IT_number 1
loop_
_space_group_symop_operation_xyz
'x,y,z'
loop_
_atom_site_label
_atom_site_type_symbol
_atom_site_fract_x
_atom_site_fract_y
_atom_site_fract_z
Sb1 Sb 0.500 0.500 0.500
H1 H 0.000 0.000 0.000
O1 O 0.500 0.000 0.000
O2 O 0.000 0.500 0.000
P1 P 0.000 0.000 0.500
# Space-group type: No. 123
# Distance to the lowest polymorph of the same formula: 88.2 meV per atom

Number 1: E -51.3 eV per cell, DOS at the Fermi energy 1.83 states/eV/atom. Number 2: E -21.1 eV per cell, DOS at the Fermi energy 0.27 states/eV/atom.